Arrangement A

This record from Alexandria via LeMat-Bulk describes an optimized crystal structure of Ag5SeF2. The functional is PBE-GGA.

a b c (Å): 7.811 7.257 9.129
angles (deg): 142.26 99.03 114.39
Fractional coordinates of all 8 atoms:
Ag1 0.788 0.874 0.663
Ag2 0.337 0.133 0.407
Ag3 0.026 0.761 0.408
Ag4 0.534 0.036 0.614
Ag5 0.928 0.234 0.419
F1 0.572 0.045 0.091
F2 0.569 0.526 0.151
Se1 0.024 0.945 0.025

Values from the calculation:
**Crystal system**: triclinic
**SG**: P1, No. 1
**N(E_F)**: 1.966 states/eV/f.u.



Arrangement B

This record from Alexandria via LeMat-Bulk describes an optimized crystal structure of Ag5SeF2. The functional is PBE-GGA.

a b c (Å): 3.021 6.976 15.081
angles (deg): 90.00 90.00 102.51
Fractional coordinates of all 16 atoms:
Ag1 0.861 0.722 0.250
Ag2 0.890 0.779 0.908
Ag3 0.312 0.625 0.059
Ag4 0.688 0.375 0.941
Ag5 0.110 0.221 0.092
Ag6 0.890 0.779 0.592
Ag7 0.110 0.221 0.408
Ag8 0.312 0.625 0.441
Ag9 0.688 0.375 0.559
Ag10 0.139 0.278 0.750
F1 0.055 0.110 0.889
F2 0.055 0.110 0.611
F3 0.945 0.890 0.389
F4 0.945 0.890 0.111
Se1 0.802 0.604 0.750
Se2 0.198 0.396 0.250

Values from the calculation:
**Crystal system**: orthorhombic
**SG**: Cmcm, No. 63
**N(E_F)**: 0.280 states/eV/f.u.



The most stable structure shown above is arrangement A; the least stable is arrangement B.